1 | DFT (PBE) results for a relaxed structure of LiReAs.

The structure in POSCAR format:
```
LiReAs
1.0
3.047 0.000 0.000
0.000 4.724 0.000
0.000 0.000 13.109
Li Re As
4 4 4
direct
0.000 0.000 0.000 Li
0.000 0.500 0.500 Li
0.500 0.000 0.500 Li
0.500 0.500 0.000 Li
0.000 0.000 0.671 Re
0.000 0.500 0.171 Re
0.500 0.000 0.171 Re
0.500 0.500 0.671 Re
0.000 0.000 0.326 As
0.000 0.500 0.826 As
0.500 0.000 0.826 As
0.500 0.500 0.326 As
```

Computed properties:
Magnetic moment = 0.00 μB/f.u.

2 | DFT (PBE) results for a relaxed structure of LiReAs.

The structure in POSCAR format:
```
LiReAs
1.0
2.979 0.000 0.000
-1.489 2.580 0.000
0.000 0.000 6.345
Li Re As
1 1 1
direct
0.000 0.000 0.000 Li
0.667 0.333 0.359 Re
0.333 0.667 0.645 As
```

Computed properties:
Magnetic moment = 0.38 μB/f.u.

3 | DFT (PBE) results for a relaxed structure of LiReAs.

The structure in POSCAR format:
```
LiReAs
1.0
3.148 0.000 0.000
0.000 3.148 0.000
0.000 0.000 8.373
Li Re As
2 2 2
direct
0.000 0.000 0.000 Li
0.500 0.500 0.500 Li
0.000 0.000 0.320 Re
0.500 0.500 0.820 Re
0.000 0.000 0.664 As
0.500 0.500 0.164 As
```

Computed properties:
Magnetic moment = 0.65 μB/f.u.

4 | DFT (PBE) results for a relaxed structure of LiReAs.

The structure in POSCAR format:
```
LiReAs
1.0
5.830 0.000 0.000
0.000 5.830 0.000
0.000 0.000 5.830
Li Re As
4 4 4
direct
0.000 0.000 0.000 Li
0.000 0.500 0.500 Li
0.500 0.000 0.500 Li
0.500 0.500 0.000 Li
0.250 0.250 0.750 Re
0.250 0.750 0.250 Re
0.750 0.250 0.250 Re
0.750 0.750 0.750 Re
0.000 0.000 0.500 As
0.000 0.500 0.000 As
0.500 0.000 0.000 As
0.500 0.500 0.500 As
```

Computed properties:
Magnetic moment = 0.20 μB/f.u.

Most stable: 3 (next structure +118 meV per atom)